Density functional theory data (PBE-GGA) for a relaxed Cs2CaPb crystal.

## Properties
VASP energy	-13.5	eV/cell
distance to the lowest polymorph of the same formula	0.000	eV/atom
ΔE_f	0.1648	eV/atom
density of states at the Fermi level	0.221	states/eV/atom
crystal system	tetragonal

Geometry as extended XYZ:
```
8
Lattice="-1.107 3.436 -3.638 -2.527 -3.600 -2.631 -13.910 3.347 3.786" Properties=species:S:1:pos:R:3 pbc="T T T"
Pb 0.000 0.000 0.000
Pb -8.417 3.351 -1.493
Cs -4.487 2.541 -1.663
Cs -5.193 -0.990 -1.146
Cs -11.790 2.456 0.493
Cs -13.617 2.360 -2.651
Ca -1.817 -0.082 -3.135
Ca -9.127 -0.167 -0.990
```